Entry 1:
DFT (PBE) results for a relaxed UCoNiSn crystal.

Unit cell a=4.578 b=4.578 c=4.578 alpha=60.00 beta=60.00 gamma=60.00
Each line ends with the local moment (μB).
Element x y z (fractional)
Ni: 0.500 0.500 0.500  0.22
U: 0.750 0.750 0.750  -1.78
Sn: 0.250 0.250 0.250  0.02
Co: 0.000 0.000 0.000  0.81

## Properties
Crystal system ... cubic
Density of states at the Fermi level ... 1.532 states/eV/atom
E ... -28.78 eV per formula unit



Entry 2:
DFT (PBE) results for a relaxed Mg2HgBr crystal.

Unit cell a=7.721 b=7.721 c=6.470 alpha=53.37 beta=53.37 gamma=90.00
Element x y z (fractional)
Mg: 0.624 0.125 0.250
Mg: 0.126 0.625 0.250
Mg: 0.375 0.376 0.750
Mg: 0.875 0.874 0.750
Hg: 0.000 0.000 0.000
Hg: 0.750 0.250 0.500
Br: 0.500 0.500 0.000
Br: 0.250 0.750 0.500

## Properties
Crystal system ... tetragonal
Density of states at the Fermi level ... 0.474 states/eV/atom
Formation energy (no corrections) ... -0.328 eV/atom



Entry 3:
DFT (PBE) results for a relaxed La2TbPr2Nd4 crystal.

Unit cell a=3.723 b=9.838 c=9.902 alpha=115.15 beta=90.00 gamma=100.91
Element x y z (fractional)
La: 0.335 0.670 0.000
La: 0.665 0.330 0.000
Tb: 0.000 0.000 0.000
Pr: 0.852 0.705 0.333
Pr: 0.148 0.295 0.667
Nd: 0.815 0.631 0.667
Nd: 0.185 0.369 0.333
Nd: 0.518 0.037 0.330
Nd: 0.482 0.963 0.670

## Properties
Crystal system ... monoclinic
Density of states at the Fermi level ... 1.428 states/eV/atom
E ... -43.02 eV per formula unit



Entry 4:
DFT (PBE) results for a relaxed Al5Si crystal.

Unit cell a=5.263 b=5.263 c=5.263 alpha=60.00 beta=60.00 gamma=60.00
Element x y z (fractional)
Al: 0.250 0.250 0.250
Al: 0.625 0.625 0.625
Al: 0.625 0.625 0.124
Al: 0.124 0.625 0.625
Al: 0.625 0.124 0.625
Si: 0.000 0.000 0.000

## Properties
Crystal system ... cubic
Density of states at the Fermi level ... 0.285 states/eV/atom
Formation energy (no corrections) ... 0.278 eV/atom



Entry 5:
DFT (PBE) results for a relaxed AcLa12Tm3 crystal.

Unit cell a=5.230 b=5.230 c=20.979 alpha=90.00 beta=90.00 gamma=90.00
Element x y z (fractional)
Ac: 0.000 0.000 0.000
La: 0.500 0.500 0.000
La: 0.500 0.500 0.255
La: 0.500 0.500 0.500
La: 0.500 0.500 0.745
La: 0.500 0.000 0.131
La: 0.500 0.000 0.377
La: 0.500 0.000 0.623
La: 0.500 0.000 0.869
La: 0.000 0.500 0.131
La: 0.000 0.500 0.377
La: 0.000 0.500 0.623
La: 0.000 0.500 0.869
Tm: 0.000 0.000 0.254
Tm: 0.000 0.000 0.500
Tm: 0.000 0.000 0.746

## Properties
Crystal system ... tetragonal
Density of states at the Fermi level ... 1.543 states/eV/atom
E ... -76.43 eV per formula unit



Entry 6:
DFT (PBE) results for a relaxed LiNiSb2 crystal.

Unit cell a=4.746 b=4.746 c=4.746 alpha=60.00 beta=60.00 gamma=60.00
Element x y z (fractional)
Sb: 0.250 0.250 0.250
Sb: 0.750 0.750 0.750
Li: 0.000 0.000 0.000
Ni: 0.500 0.500 0.500

## Properties
Crystal system ... cubic
Density of states at the Fermi level ... 0.528 states/eV/atom
Formation energy (no corrections) ... -0.087 eV/atom



Entry 7:
DFT (PBE) results for a relaxed Dy2HoPd crystal.

Unit cell a=3.577 b=3.577 c=8.362 alpha=90.00 beta=90.00 gamma=90.00
Element x y z (fractional)
Ho: 0.500 0.500 0.500
Pd: 0.500 0.500 0.000
Dy: 0.000 0.000 0.800
Dy: 0.000 0.000 0.200

## Properties
Crystal system ... tetragonal
Density of states at the Fermi level ... 1.183 states/eV/atom
E ... -20.60 eV per formula unit



Entry 8:
DFT (PBE) results for a relaxed Hf2TiMo crystal.

Unit cell a=3.176 b=3.176 c=9.151 alpha=80.01 beta=80.01 gamma=60.00
Element x y z (fractional)
Mo: 0.000 0.000 0.000
Hf: 0.256 0.256 0.231
Hf: 0.744 0.744 0.769
Ti: 0.500 0.500 0.500

## Properties
Crystal system ... trigonal
Density of states at the Fermi level ... 1.272 states/eV/atom
E ... -37.80 eV per formula unit



Entry 9:
DFT (PBE) results for a relaxed Cd2AgTe2 crystal.

Unit cell a=8.003 b=8.003 c=4.089 alpha=90.00 beta=90.00 gamma=90.00
Element x y z (fractional)
Te: 0.179 0.679 0.500
Te: 0.679 0.821 0.500
Te: 0.821 0.321 0.500
Te: 0.321 0.179 0.500
Ag: 0.000 0.000 0.000
Ag: 0.500 0.500 0.000
Cd: 0.367 0.867 0.000
Cd: 0.867 0.633 0.000
Cd: 0.633 0.133 0.000
Cd: 0.133 0.367 0.000

## Properties
Crystal system ... tetragonal
Density of states at the Fermi level ... 0.296 states/eV/atom
Formation energy (no corrections) ... 0.050 eV/atom



Entry 10:
DFT (PBE) results for a relaxed BaPaCuAs3 crystal.

Unit cell a=4.255 b=7.123 c=10.897 alpha=90.00 beta=90.00 gamma=107.38
Element x y z (fractional)
Ba: 0.744 0.489 0.750
Ba: 0.256 0.511 0.250
Pa: 0.000 0.000 0.500
Pa: 0.000 0.000 0.000
Cu: 0.462 0.924 0.750
Cu: 0.538 0.076 0.250
As: 0.633 0.266 0.443
As: 0.367 0.734 0.557
As: 0.367 0.734 0.943
As: 0.633 0.266 0.057
As: 0.054 0.108 0.750
As: 0.946 0.892 0.250

## Properties
Crystal system ... orthorhombic
Density of states at the Fermi level ... 1.094 states/eV/atom
E ... -34.23 eV per formula unit



Entry 11:
DFT (PBE) results for a relaxed RuPtBr2 crystal.

Unit cell a=6.949 b=6.949 c=5.901 alpha=53.93 beta=53.93 gamma=90.00
Element x y z (fractional)
Ru: 0.500 0.500 0.000
Ru: 0.250 0.750 0.500
Br: 0.604 0.125 0.250
Br: 0.146 0.625 0.250
Br: 0.375 0.396 0.750
Br: 0.875 0.854 0.750
Pt: 0.000 0.000 0.000
Pt: 0.750 0.250 0.500

## Properties
Crystal system ... tetragonal
Density of states at the Fermi level ... 0.988 states/eV/atom
Formation energy (no corrections) ... 0.816 eV/atom



Entry 12:
DFT (PBE) results for a relaxed MnTe2PN crystal.

Unit cell a=5.597 b=5.597 c=3.257 alpha=90.00 beta=90.00 gamma=90.00
Each line ends with the local moment (μB).
Element x y z (fractional)
P: 0.000 0.000 0.000  -0.05
Te: 0.000 0.500 0.000  -0.03
Te: 0.500 0.000 0.000  -0.03
Mn: 0.500 0.500 0.500  4.11
N: 0.000 0.000 0.500  -0.04

## Properties
Crystal system ... tetragonal
Density of states at the Fermi level ... 0.588 states/eV/atom
Formation energy (no corrections) ... 0.586 eV/atom



Entry 13:
DFT (PBE) results for a relaxed KZrCd crystal.

Unit cell a=5.220 b=5.220 c=5.220 alpha=60.00 beta=60.00 gamma=60.00
Each line ends with the local moment (μB).
Element x y z (fractional)
Cd: 0.750 0.750 0.750  0.00
K: 0.000 0.000 0.000  0.00
Zr: 0.500 0.500 0.500  0.08

## Properties
Crystal system ... cubic
Density of states at the Fermi level ... 1.613 states/eV/atom
E ... -7.55 eV per formula unit